# 1
TaS3O: optimized geometry, PBE-GGA.

Unit cell a=4.724 b=4.724 c=4.724 alpha=90.00 beta=90.00 gamma=90.00
Sites, in units of the cell vectors:
Ta: 0.000 0.000 0.000
S: 0.000 0.000 0.500
S: 0.000 0.500 0.000
S: 0.500 0.000 0.000
O: 0.500 0.500 0.500

Computed properties:
Energy above the most stable polymorph in this dataset = 0.0 meV per atom
Energy relative to the elements, uncorrected = 417 meV per atom

***

# 2
TaSO6: optimized geometry, PBE-GGA.

Unit cell a=5.255 b=5.255 c=4.577 alpha=95.66 beta=95.66 gamma=128.05
Sites, in units of the cell vectors:
Ta: 0.000 0.000 0.000
S: 0.500 0.500 0.500
O: 0.171 0.418 0.288
O: 0.268 0.268 0.725
O: 0.418 0.171 0.288
O: 0.582 0.829 0.712
O: 0.732 0.732 0.275
O: 0.829 0.582 0.712

Computed properties:
Energy relative to the elements, uncorrected = -1227 meV per atom

***

# 3
TaSO: optimized geometry, PBE-GGA.

Unit cell a=6.903 b=6.439 c=5.523 alpha=90.00 beta=105.87 gamma=90.00
Sites, in units of the cell vectors:
Ta: 0.011 0.124 0.280
Ta: 0.011 0.376 0.780
Ta: 0.989 0.624 0.220
Ta: 0.989 0.876 0.720
S: 0.261 0.108 0.684
S: 0.261 0.392 0.184
S: 0.739 0.608 0.816
S: 0.739 0.892 0.316
O: 0.129 0.629 0.634
O: 0.129 0.871 0.134
O: 0.871 0.129 0.866
O: 0.871 0.371 0.366

Computed properties:
Energy relative to the elements, uncorrected = -1774 meV per atom

***

# 4
Ta7S12O: optimized geometry, PBE-GGA.

Unit cell a=7.787 b=7.787 c=7.787 alpha=108.30 beta=108.30 gamma=108.30
Sites, in units of the cell vectors:
Ta: 0.000 0.000 0.000
Ta: 0.186 0.407 0.484
Ta: 0.407 0.484 0.186
Ta: 0.484 0.186 0.407
Ta: 0.516 0.814 0.593
Ta: 0.593 0.516 0.814
Ta: 0.814 0.593 0.516
S: 0.042 0.349 0.124
S: 0.124 0.042 0.349
S: 0.182 0.734 0.582
S: 0.266 0.418 0.818
S: 0.349 0.124 0.042
S: 0.418 0.818 0.266
S: 0.582 0.182 0.734
S: 0.651 0.876 0.958
S: 0.734 0.582 0.182
S: 0.818 0.266 0.418
S: 0.876 0.958 0.651
S: 0.958 0.651 0.876
O: 0.500 0.500 0.500

Computed properties:
Energy relative to the elements, uncorrected = -920 meV per atom